Material: Ca2PdF6
Method: DFT, GGA-PBE
State: optimized geometry

Computed properties:
As for the space group: P4_2/mnm, No. 136. The crystal system is tetragonal. The energy above the most stable polymorph in this dataset comes out at 0.0 meV per atom.

Cell: 5.1789 5.1789 10.6328 Å, 90.00 90.00 90.00°
Sites, in units of the cell vectors:
Ca (0.0000, 0.0000, 0.3339)
Ca (0.5000, 0.5000, 0.8339)
Ca (0.5000, 0.5000, 0.1661)
Ca (0.0000, 0.0000, 0.6661)
Pd (0.0000, 0.0000, 0.0000)
Pd (0.5000, 0.5000, 0.5000)
F (0.3092, 0.3092, 0.3361)
F (0.6908, 0.6908, 0.3361)
F (0.1908, 0.8092, 0.8361)
F (0.8092, 0.1908, 0.8361)
F (0.1908, 0.8092, 0.1639)
F (0.8092, 0.1908, 0.1639)
F (0.3092, 0.3092, 0.6639)
F (0.6908, 0.6908, 0.6639)
F (0.3011, 0.3011, 0.0000)
F (0.6989, 0.6989, 0.0000)
F (0.1989, 0.8011, 0.5000)
F (0.8011, 0.1989, 0.5000)